1.
# Cs2BeCuI6 | Alexandria | PBE-GGA | optimized geometry
# - E_form (uncorrected): -0.68 eV/atom
# - Uncorrected energy: -2.56 eV/atom
data_Cs2BeCuI6
_cell_length_a 8.1484
_cell_length_b 8.1484
_cell_length_c 8.4079
_cell_angle_alpha 61.02
_cell_angle_beta 61.02
_cell_angle_gamma 90.00
_symmetry_space_group_name_H-M 'P 1'
_symmetry_Int_Tables_number 1
_symmetry_space_group_name_Hall 'P 1'
loop_
_atom_site_label
_atom_site_type_symbol
_atom_site_fract_x
_atom_site_fract_y
_atom_site_fract_z
I1 I 0.7205 0.7205 0.0000
Cs1 Cs 0.2500 0.7500 0.5000
I2 I 0.2795 0.7205 0.0000
I3 I 0.2795 0.2795 0.0000
I4 I 0.7958 0.7958 0.4084
Cs2 Cs 0.7500 0.2500 0.5000
I5 I 0.2042 0.2042 0.5916
Be1 Be 0.5000 0.5000 0.0000
I6 I 0.7205 0.2795 0.0000
Cu1 Cu 0.0000 0.0000 0.0000

2.
# CsLiBeCu2 | Alexandria | PBE-GGA | optimized geometry
# - Uncorrected energy: -2.17 eV/atom
# - Energy of formation from the pure elements: 770 meV/atom
data_CsLiBeCu2
_cell_length_a 4.4939
_cell_length_b 5.8868
_cell_length_c 4.4939
_cell_angle_alpha 90.00
_cell_angle_beta 90.00
_cell_angle_gamma 90.00
_symmetry_space_group_name_H-M 'P 1'
_symmetry_Int_Tables_number 1
_symmetry_space_group_name_Hall 'P 1'
loop_
_atom_site_label
_atom_site_type_symbol
_atom_site_fract_x
_atom_site_fract_y
_atom_site_fract_z
Be1 Be 0.0000 0.0000 0.0000
Li1 Li 0.5000 0.5000 0.5000
Cs1 Cs 0.0000 0.5000 0.0000
Cu1 Cu 0.0000 0.0000 0.5000
Cu2 Cu 0.5000 0.0000 0.0000

3.
# CsBeCu2O | Alexandria | PBE-GGA | optimized geometry
# - E_form (uncorrected): 2.21 eV/atom
# - Uncorrected energy: -1.33 eV/atom
data_CsBeCu2O
_cell_length_a 6.0175
_cell_length_b 7.1664
_cell_length_c 6.0175
_cell_angle_alpha 90.00
_cell_angle_beta 90.00
_cell_angle_gamma 90.00
_symmetry_space_group_name_H-M 'P 1'
_symmetry_Int_Tables_number 1
_symmetry_space_group_name_Hall 'P 1'
loop_
_atom_site_label
_atom_site_type_symbol
_atom_site_fract_x
_atom_site_fract_y
_atom_site_fract_z
Cu1 Cu 0.0000 0.0000 0.5000
Be1 Be 0.0000 0.5000 0.0000
Cs1 Cs 0.0000 0.0000 0.0000
Cu2 Cu 0.5000 0.0000 0.0000
O1 O 0.5000 0.5000 0.5000